No. 1
This record from Alexandria describes crystalline AlNi2 at its relaxed geometry. The functional is PBE.

Structure (extended XYZ):
```
3
Lattice="3.829 0.000 0.000 0.000 3.829 0.000 0.000 0.000 2.815" Properties=species:S:1:pos:R:3 pbc="T T T"
Ni 1.914 0.000 1.408
Ni 0.000 1.914 1.408
Al 0.000 0.000 0.000
```

Crystal system = tetragonal

=====

No. 2
This record from Alexandria describes crystalline AlNi2 at its relaxed geometry. The functional is PBE.

Structure (extended XYZ):
```
3
Lattice="3.956 0.000 0.000 -1.978 3.426 0.000 0.000 0.000 2.596" Properties=species:S:1:pos:R:3 pbc="T T T"
Ni 0.000 2.284 0.828
Ni 1.978 1.142 1.768
Al 0.000 0.000 0.000
```

Crystal system = trigonal

=====

Number 1: energy of formation -0.6 kJ/mol of atoms. Number 2: energy of formation -37.3 kJ/mol of atoms.